# La2CoAs

La2CoAs after structural relaxation (PBE, Alexandria).

The space group is F-43m (No. 216) and the conventional cell measures 7.0660, 7.0660 and 7.0660 Å, with angles of 90.00, 90.00 and 90.00 degrees. Symmetry generates all atoms from La at (0.0000, 0.0000, 0.0000), La at (0.2500, 0.2500, 0.2500), Co at (0.0000, 0.0000, 0.5000) and As at (0.2500, 0.2500, 0.7500).

Its calculated density is 7.75 g/cm3. The total energy is -5.468 eV/atom.


# CoSnTe2N

CoSnTe2N after structural relaxation (PBE, Alexandria).

The space group is P4/mmm (No. 123) and the conventional cell measures 5.5083, 5.5083 and 3.4584 Å, with angles of 90.00, 90.00 and 90.00 degrees. Symmetry generates all atoms from Co at (0.0000, 0.0000, 0.0000), Sn at (0.5000, 0.5000, 0.5000), Te at (0.0000, 0.5000, 0.0000) and N at (0.0000, 0.0000, 0.5000).

The formation energy without anion corrections comes out at 1.1 eV/f.u. Its calculated density is 7.07 g/cm3. For the energy above the most stable polymorph in this dataset, the calculation gives 0.0 meV per atom. The total energy is -4.920 eV/atom.


# CsSrBr3

CsSrBr3 after structural relaxation (PBE, Alexandria).

The space group is Pnma (No. 62) and the conventional cell measures 10.0016, 4.6879 and 17.4926 Å, with angles of 90.00, 90.00 and 90.00 degrees. Symmetry generates all atoms from Cs at (0.0897, 0.2500, 0.1825), Sr at (0.1767, 0.7500, 0.4455), Br at (0.0153, 0.7500, 0.5991), Br at (0.1640, 0.7500, 0.0134) and Br at (0.1944, 0.2500, 0.7920).

The formation energy without anion corrections comes out at -10.1 eV/f.u. Its calculated density is 3.73 g/cm3. The total energy is -3.522 eV/atom.


# PmPaGeIr

PmPaGeIr after structural relaxation (PBE, Alexandria).

The space group is F-43m (No. 216) and the conventional cell measures 7.0942, 7.0942 and 7.0942 Å, with angles of 90.00, 90.00 and 90.00 degrees. Symmetry generates all atoms from Pm at (0.0000, 0.0000, 0.0000), Pa at (0.0000, 0.0000, 0.5000), Ge at (0.2500, 0.2500, 0.7500) and Ir at (0.2500, 0.2500, 0.2500).

Its calculated density is 11.92 g/cm3. The total energy is -7.342 eV/atom.


# Mg2AsIrO6

Mg2AsIrO6 after structural relaxation (PBE, Alexandria).

The space group is P4mm (No. 99) and the conventional cell measures 5.3690, 5.3690 and 4.4123 Å, with angles of 90.00, 90.00 and 90.00 degrees. Symmetry generates all atoms from Mg at (0.0000, 0.5000, 0.0000), As at (0.0000, 0.0000, 0.6538), Ir at (0.5000, 0.5000, 0.6889), O at (0.0000, 0.0000, 0.2686), O at (0.2400, 0.2400, 0.7987) and O at (0.5000, 0.5000, 0.2352).

The formation energy without anion corrections comes out at -12.5 eV/f.u. Its calculated density is 5.38 g/cm3. The total energy is -5.892 eV/atom.


# AlWAu2

AlWAu2 after structural relaxation (PBE, Alexandria).

The space group is P4/mmm (No. 123) and the conventional cell measures 3.9848, 3.9848 and 4.2007 Å, with angles of 90.00, 90.00 and 90.00 degrees. Symmetry generates all atoms from Al at (0.0000, 0.0000, 0.0000), W at (0.5000, 0.5000, 0.0000) and Au at (0.0000, 0.5000, 0.5000).

Its calculated density is 15.06 g/cm3. The total energy is -5.606 eV/atom.


# UIrOsRu

UIrOsRu after structural relaxation (PBE, Alexandria).

The space group is Pmmm (No. 47) and the conventional cell measures 3.9702, 4.0383 and 4.0594 Å, with angles of 90.00, 90.00 and 90.00 degrees. Symmetry generates all atoms from U at (0.0000, 0.0000, 0.0000), Ir at (0.0000, 0.5000, 0.5000), Os at (0.5000, 0.0000, 0.5000) and Ru at (0.5000, 0.5000, 0.0000).

Its calculated density is 18.41 g/cm3. The total energy is -10.586 eV/atom.


# TeN2Cl

TeN2Cl after structural relaxation (PBE, Alexandria).

The space group is Fm-3m (No. 225) and the conventional cell measures 5.9923, 5.9923 and 5.9923 Å, with angles of 90.00, 90.00 and 90.00 degrees. Symmetry generates all atoms from Te at (0.0000, 0.0000, 0.0000), N at (0.2500, 0.2500, 0.2500) and Cl at (0.0000, 0.0000, 0.5000).

The formation energy without anion corrections comes out at 8.5 eV/f.u. Its calculated density is 5.90 g/cm3. For the energy above the most stable polymorph in this dataset, the calculation gives 2186.3 meV per atom. The total energy is -3.297 eV/atom.


# V2Cr4B

V2Cr4B after structural relaxation (PBE, Alexandria).

The space group is I4/mmm (No. 139) and the conventional cell measures 3.8790, 3.8790 and 11.8128 Å, with angles of 90.00, 90.00 and 90.00 degrees. Symmetry generates all atoms from V at (0.0000, 0.0000, 0.1283), Cr at (0.0000, 0.0000, 0.3261), Cr at (0.0000, 0.5000, 0.0000) and B at (0.0000, 0.0000, 0.5000).

Its calculated density is 5.99 g/cm3. The total energy is -8.546 eV/atom.


# CsAgF2

CsAgF2 after structural relaxation (PBE, Alexandria).

The space group is R-3m (No. 166, hexagonal axes) and the conventional cell measures 4.0072, 4.0072 and 22.0752 Å, with angles of 90.00, 90.00 and 120.00 degrees. Symmetry generates all atoms from Cs at (0.0000, 0.0000, 0.0000), Ag at (0.0000, 0.0000, 0.5000) and F at (0.0000, 0.0000, 0.1170).

The formation energy without anion corrections comes out at -5.8 eV/f.u. Its calculated density is 4.52 g/cm3. For the energy above the most stable polymorph in this dataset, the calculation gives 378.6 meV per atom. The total energy is -3.322 eV/atom.


# ReTe2SN

ReTe2SN after structural relaxation (PBE, Alexandria).

The space group is P4/mmm (No. 123) and the conventional cell measures 5.2325, 5.2325 and 3.2739 Å, with angles of 90.00, 90.00 and 90.00 degrees. Symmetry generates all atoms from Re at (0.0000, 0.0000, 0.0000), Te at (0.0000, 0.5000, 0.5000), S at (0.5000, 0.5000, 0.5000) and N at (0.5000, 0.5000, 0.0000).

The formation energy without anion corrections comes out at 6.8 eV/f.u. Its calculated density is 9.03 g/cm3. For the energy above the most stable polymorph in this dataset, the calculation gives 857.8 meV per atom. The total energy is -4.874 eV/atom.


# TbCe2SmTe5

TbCe2SmTe5 after structural relaxation (PBE, Alexandria).

The space group is P4/mmm (No. 123) and the conventional cell measures 5.5434, 5.5434 and 11.7207 Å, with angles of 90.00, 90.00 and 90.00 degrees. Symmetry generates all atoms from Tb at (0.0000, 0.0000, 0.0000), Ce at (0.5000, 0.5000, 0.1744), Sm at (0.0000, 0.0000, 0.5000), Te at (0.0000, 0.0000, 0.2529), Te at (0.0000, 0.5000, 0.0000) and Te at (0.5000, 0.5000, 0.5000).

The formation energy without anion corrections comes out at -7.4 eV/f.u. Its calculated density is 5.66 g/cm3. The total energy is -4.928 eV/atom.